A relaxed Cd8AgRh2 crystal, computed with GGA-PBE.

Properties
Raw total energy ... -2.319 eV per atom
Mass density ... 9096 kg/m³
Calculated formation energy ... -0.06 eV per atom
Relative energy among the computed polymorphs ... 14 meV per atom
D(E_F) ... 12.21 states/eV per cell

a = 8.612 Å, b = 11.163 Å, c = 4.607 Å
α = 90.00°, β = 90.00°, γ = 90.00°
Space group Cmmm (No. 65)
Asymmetric unit:
Cd 0.000 0.246 0.000 [4 per cell]
Cd 0.167 0.000 0.000 [4 per cell]
Cd 0.172 0.364 0.500 [8 per cell]
Ag 0.000 0.500 0.000 [2 per cell]
Rh 0.000 0.118 0.500 [4 per cell]

A relaxed Cd16Ag6Rh7 crystal, computed with GGA-PBE.

Properties
Raw total energy ... -2.943 eV per atom
Mass density ... 9370 kg/m³
Calculated formation energy ... -0.07 eV per atom
D(E_F) ... 66.41 states/eV per cell

a = 13.093 Å, b = 13.093 Å, c = 13.093 Å
α = 90.00°, β = 90.00°, γ = 90.00°
Space group Fm-3m (No. 225)
Asymmetric unit:
Cd 0.128 0.128 0.128 [32 per cell]
Cd 0.132 0.132 0.368 [32 per cell]
Ag 0.000 0.000 0.250 [24 per cell]
Rh 0.000 0.000 0.000 [4 per cell]
Rh 0.000 0.250 0.250 [24 per cell]

A relaxed Cd8Ag2Rh crystal, computed with GGA-PBE.

Properties
Raw total energy ... -1.816 eV per atom
Mass density ... 8641 kg/m³
Calculated formation energy ... 0.04 eV per atom
Relative energy among the computed polymorphs ... 64 meV per atom
D(E_F) ... 8.53 states/eV per cell

a = 7.655 Å, b = 13.403 Å, c = 4.889 Å
α = 90.00°, β = 111.07°, γ = 90.00°
Space group C2/m (No. 12)
Asymmetric unit:
Cd 0.000 0.206 0.000 [4 per cell]
Cd 0.119 0.500 0.799 [4 per cell]
Cd 0.203 0.110 0.638 [8 per cell]
Ag 0.000 0.307 0.500 [4 per cell]
Rh 0.000 0.000 0.000 [2 per cell]

A relaxed Cd6AgRh crystal, computed with GGA-PBE.

Properties
Raw total energy ... -1.928 eV per atom
Mass density ... 9039 kg/m³
Calculated formation energy ... 0.03 eV per atom
Relative energy among the computed polymorphs ... 0 meV per atom
D(E_F) ... 3.23 states/eV per cell

a = 5.369 Å, b = 5.501 Å, c = 5.538 Å
α = 89.94°, β = 84.56°, γ = 86.94°
Space group P-1 (No. 2)
Asymmetric unit:
Cd 0.011 0.007 0.252 [2 per cell]
Cd 0.254 0.539 0.466 [2 per cell]
Cd 0.484 0.755 0.964 [2 per cell]
Ag 0.000 0.500 0.000 [1 per cell]
Rh 0.500 0.000 0.500 [1 per cell]

A relaxed Cd6AgRh crystal, computed with GGA-PBE.

Properties
Raw total energy ... -1.921 eV per atom
Mass density ... 8451 kg/m³
Calculated formation energy ... 0.04 eV per atom
Relative energy among the computed polymorphs ... 8 meV per atom
D(E_F) ... 6.81 states/eV per cell

a = 5.175 Å, b = 8.202 Å, c = 8.275 Å
α = 90.00°, β = 97.88°, γ = 90.00°
Space group C2/m (No. 12)
Asymmetric unit:
Cd 0.044 0.000 0.170 [4 per cell]
Cd 0.067 0.326 0.332 [8 per cell]
Ag 0.000 0.500 0.000 [2 per cell]
Rh 0.000 0.000 0.500 [2 per cell]

A relaxed Cd4AgRh3 crystal, computed with GGA-PBE.

Properties
Raw total energy ... -3.676 eV per atom
Mass density ... 10384 kg/m³
Calculated formation energy ... -0.11 eV per atom
D(E_F) ... 4.73 states/eV per cell

a = 4.603 Å, b = 4.603 Å, c = 13.077 Å
α = 90.00°, β = 90.00°, γ = 90.00°
Space group I4/mmm (No. 139)
Asymmetric unit:
Cd 0.000 0.500 0.129 [8 per cell]
Ag 0.000 0.000 0.000 [2 per cell]
Rh 0.000 0.000 0.251 [4 per cell]
Rh 0.000 0.000 0.500 [2 per cell]